1.
This record from the Alexandria database describes a relaxed Ce2GdTh crystal. The functional is PBE.

Cell and atoms, written as POSCAR:
```
Ce2GdTh
1.0
3.482 0.000 0.000
0.000 3.482 0.000
0.000 0.000 9.899
Ce Gd Th
2 1 1
Direct
0.000 0.000 0.242
0.000 0.000 0.758
0.500 0.500 0.500
0.500 0.500 0.000
```

2.
This record from the Alexandria database describes a relaxed Ce2GdTh crystal. The functional is PBE.

Cell and atoms, written as POSCAR:
```
Ce2GdTh
1.0
4.891 0.000 0.000
0.000 4.891 0.000
0.000 0.000 4.974
Ce Gd Th
2 1 1
Direct
0.000 0.500 0.000
0.500 0.000 0.000
0.000 0.000 0.500
0.500 0.500 0.500
```

Which is more stable than every other structure shown? 1 is more stable than every other one.